! MgIrOs2 | OQMD via LeMat-Bulk | PBE | optimized geometry; values from VASP
! Total energy ... -126.3 eV/cell
! Total magnetization ... 1.00 μB/f.u.
! Space group ... F-43m
&SYSTEM
  ibrav = 0, nat = 16, ntyp = 3
/
ATOMIC_SPECIES
Mg 24.30 Mg.upf
Ir 192.22 Ir.upf
Os 190.23 Os.upf
CELL_PARAMETERS angstrom
6.1908 0.0000 0.0000
0.0000 6.1908 0.0000
0.0000 0.0000 6.1908
ATOMIC_POSITIONS crystal
Mg 0.0000 0.0000 0.0000
Mg 0.0000 0.5000 0.5000
Mg 0.5000 0.0000 0.5000
Mg 0.5000 0.5000 0.0000
Ir 0.2500 0.2500 0.2500
Ir 0.2500 0.7500 0.7500
Ir 0.7500 0.2500 0.7500
Ir 0.7500 0.7500 0.2500
Os 0.0000 0.0000 0.5000
Os 0.0000 0.5000 0.0000
Os 0.2500 0.2500 0.7500
Os 0.2500 0.7500 0.2500
Os 0.5000 0.0000 0.0000
Os 0.5000 0.5000 0.5000
Os 0.7500 0.2500 0.2500
Os 0.7500 0.7500 0.7500